1.
TmFe2 | meta-GGA SCAN | single point on PBEsol structure

Lattice parameters (Å, degrees): 4.9724 4.9724 8.0948 90.00 90.00 120.00
With the nearest neighbours (Å) after each atom.
Fractional coordinates of all 12 atoms:
Tm: 0.3333 0.6667 0.0622  12 Fe 2.91, 4 Tm 3.04
Tm: 0.3333 0.6667 0.4378  12 Fe 2.91, 4 Tm 3.04
Tm: 0.6667 0.3333 0.5622  12 Fe 2.91, 4 Tm 3.04
Tm: 0.6667 0.3333 0.9378  12 Fe 2.91, 4 Tm 3.04
Fe: 0.0000 0.0000 0.0000  6 Fe 2.48
Fe: 0.0000 0.0000 0.5000  6 Fe 2.48
Fe: 0.1659 0.3319 0.7500  6 Fe 2.48-2.50
Fe: 0.1659 0.8341 0.7500  6 Fe 2.48-2.50
Fe: 0.3319 0.1659 0.2500  6 Fe 2.48-2.50
Fe: 0.6681 0.8341 0.7500  6 Fe 2.48-2.50
Fe: 0.8341 0.1659 0.2500  6 Fe 2.48-2.50
Fe: 0.8341 0.6681 0.2500  6 Fe 2.48-2.50

Calculated values
Magnetization = 15.686 μB/cell
DFT formation energy = -0.2 eV per formula unit
ρ = 10.8 Mg/m³
Symmetry = P6_3/mmc (194)



2.
TmFe2 | meta-GGA SCAN | single point on PBEsol structure

Lattice parameters (Å, degrees): 4.9711 4.9711 4.9711 60.00 60.00 60.00
With the nearest neighbours (Å) after each atom.
Fractional coordinates of all 6 atoms:
Tm: 0.1250 0.1250 0.1250  12 Fe 2.91, 4 Tm 3.04
Tm: 0.8750 0.8750 0.8750  12 Fe 2.91, 4 Tm 3.04
Fe: 0.0000 0.5000 0.5000  6 Fe 2.49
Fe: 0.5000 0.0000 0.5000  6 Fe 2.49
Fe: 0.5000 0.5000 0.0000  6 Fe 2.49
Fe: 0.5000 0.5000 0.5000  6 Fe 2.49

Calculated values
Magnetization = 7.659 μB/cell
DFT formation energy = -0.3 eV per formula unit
ρ = 10.7 Mg/m³
Symmetry = Fd-3m (227)



3.
V3Fe | meta-GGA SCAN | single point on PBEsol structure

Lattice parameters (Å, degrees): 4.5840 4.5840 4.5840 90.00 90.00 90.00
With the nearest neighbours (Å) after each atom.
Fractional coordinates of all 8 atoms:
V: 0.0000 0.2500 0.5000  2 V 2.29, 4 Fe 2.56
V: 0.0000 0.7500 0.5000  2 V 2.29, 4 Fe 2.56
V: 0.2500 0.5000 0.0000  2 V 2.29, 4 Fe 2.56
V: 0.5000 0.0000 0.2500  2 V 2.29, 4 Fe 2.56
V: 0.5000 0.0000 0.7500  2 V 2.29, 4 Fe 2.56
V: 0.7500 0.5000 0.0000  2 V 2.29, 4 Fe 2.56
Fe: 0.0000 0.0000 0.0000  12 V 2.56
Fe: 0.5000 0.5000 0.5000  12 V 2.56

Calculated values
Magnetization = 0.000 μB/cell
DFT formation energy = -0.5 eV per formula unit
ρ = 7.2 Mg/m³
Symmetry = Pm-3n (223)



4.
VFe4 | meta-GGA SCAN | single point on PBEsol structure

Lattice parameters (Å, degrees): 2.4354 2.4354 18.0139 90.00 90.00 90.00
With the nearest neighbours (Å) after each atom.
Fractional coordinates of all 10 atoms:
V: 0.0000 0.0000 0.0000  4 V 2.44, 8 Fe 2.60
V: 0.5000 0.5000 0.5000  4 V 2.44, 8 Fe 2.60
Fe: 0.0000 0.0000 0.1981  12 Fe 2.36-2.54
Fe: 0.0000 0.0000 0.3918  8 Fe 2.36-2.44, 4 V 2.60
Fe: 0.0000 0.0000 0.6082  8 Fe 2.36-2.44, 4 V 2.60
Fe: 0.0000 0.0000 0.8019  12 Fe 2.36-2.54
Fe: 0.5000 0.5000 0.1082  8 Fe 2.36-2.44, 4 V 2.60
Fe: 0.5000 0.5000 0.3019  12 Fe 2.36-2.54
Fe: 0.5000 0.5000 0.6981  12 Fe 2.36-2.54
Fe: 0.5000 0.5000 0.8918  8 Fe 2.36-2.44, 4 V 2.60

Calculated values
Magnetization = 2.313 μB/cell
DFT formation energy = 0.7 eV per formula unit
ρ = 8.5 Mg/m³
Symmetry = I4/mmm (139)



5.
V3Fe | meta-GGA SCAN | single point on PBEsol structure

Lattice parameters (Å, degrees): 5.7479 5.7479 5.7479 90.00 90.00 90.00
With the nearest neighbours (Å) after each atom.
Fractional coordinates of all 16 atoms:
V: 0.0000 0.0000 0.0000  8 V 2.49
V: 0.0000 0.5000 0.5000  8 V 2.49
V: 0.2500 0.2500 0.2500  4 Fe 2.49, 4 V 2.49
V: 0.2500 0.2500 0.7500  4 Fe 2.49, 4 V 2.49
V: 0.2500 0.7500 0.2500  4 Fe 2.49, 4 V 2.49
V: 0.2500 0.7500 0.7500  4 Fe 2.49, 4 V 2.49
V: 0.5000 0.0000 0.5000  8 V 2.49
V: 0.5000 0.5000 0.0000  8 V 2.49
V: 0.7500 0.2500 0.2500  4 Fe 2.49, 4 V 2.49
V: 0.7500 0.2500 0.7500  4 Fe 2.49, 4 V 2.49
V: 0.7500 0.7500 0.2500  4 Fe 2.49, 4 V 2.49
V: 0.7500 0.7500 0.7500  4 Fe 2.49, 4 V 2.49
Fe: 0.0000 0.0000 0.5000  8 V 2.49
Fe: 0.0000 0.5000 0.0000  8 V 2.49
Fe: 0.5000 0.0000 0.0000  8 V 2.49
Fe: 0.5000 0.5000 0.5000  8 V 2.49

Calculated values
Magnetization = 0.002 μB/cell
DFT formation energy = -0.4 eV per formula unit
ρ = 7.3 Mg/m³
Symmetry = Fm-3m (225)



6.
VFe3 | meta-GGA SCAN | single point on PBEsol structure

Lattice parameters (Å, degrees): 5.6173 5.6173 5.6173 90.00 90.00 90.00
With the nearest neighbours (Å) after each atom.
Fractional coordinates of all 16 atoms:
V: 0.0000 0.0000 0.0000  8 Fe 2.43
V: 0.0000 0.5000 0.5000  8 Fe 2.43
V: 0.5000 0.0000 0.5000  8 Fe 2.43
V: 0.5000 0.5000 0.0000  8 Fe 2.43
Fe: 0.0000 0.0000 0.5000  8 Fe 2.43
Fe: 0.0000 0.5000 0.0000  8 Fe 2.43
Fe: 0.2500 0.2500 0.2500  4 Fe 2.43, 4 V 2.43
Fe: 0.2500 0.2500 0.7500  4 Fe 2.43, 4 V 2.43
Fe: 0.2500 0.7500 0.2500  4 Fe 2.43, 4 V 2.43
Fe: 0.2500 0.7500 0.7500  4 Fe 2.43, 4 V 2.43
Fe: 0.5000 0.0000 0.0000  8 Fe 2.43
Fe: 0.5000 0.5000 0.5000  8 Fe 2.43
Fe: 0.7500 0.2500 0.2500  4 Fe 2.43, 4 V 2.43
Fe: 0.7500 0.2500 0.7500  4 Fe 2.43, 4 V 2.43
Fe: 0.7500 0.7500 0.2500  4 Fe 2.43, 4 V 2.43
Fe: 0.7500 0.7500 0.7500  4 Fe 2.43, 4 V 2.43

Calculated values
Magnetization = 20.441 μB/cell
DFT formation energy = -0.6 eV per formula unit
ρ = 8.2 Mg/m³
Symmetry = Fm-3m (225)